(1)
The following is a DFT calculation (GGA-PBE) of a relaxed structure of Y3HoTm3S8.

```
Y3HoTm3S8
1.0
3.868 2.233 6.340
-3.868 2.233 6.340
0.000 -4.467 6.340
Y Ho Tm S
3 1 3 8
Direct
0.000 0.500 0.500 Y
0.500 0.000 0.500 Y
0.500 0.500 0.000 Y
0.500 0.500 0.500 Ho
0.000 0.000 0.500 Tm
0.000 0.500 0.000 Tm
0.500 0.000 0.000 Tm
0.244 0.751 0.751 S
0.248 0.248 0.248 S
0.249 0.249 0.756 S
0.249 0.756 0.249 S
0.751 0.244 0.751 S
0.751 0.751 0.244 S
0.752 0.752 0.752 S
0.756 0.249 0.249 S
```

Output
**Crystal system**: trigonal
**Size of the total moment**: 0.00 μB/f.u.
**ΔE_f (raw)**: -2.035 eV/atom
**Symmetry**: R-3m, No. 166


(2)
The following is a DFT calculation (GGA-PBE) of a relaxed structure of Cd2TeN.

```
Cd2TeN
1.0
6.961 0.000 0.000
0.000 6.961 0.000
0.000 0.000 6.961
Cd Te N
8 4 4
Direct
0.250 0.250 0.250 Cd
0.250 0.250 0.750 Cd
0.250 0.750 0.250 Cd
0.250 0.750 0.750 Cd
0.750 0.250 0.250 Cd
0.750 0.250 0.750 Cd
0.750 0.750 0.250 Cd
0.750 0.750 0.750 Cd
0.000 0.000 0.000 Te
0.000 0.500 0.500 Te
0.500 0.000 0.500 Te
0.500 0.500 0.000 Te
0.000 0.000 0.500 N
0.000 0.500 0.000 N
0.500 0.000 0.000 N
0.500 0.500 0.500 N
```

Output
**Crystal system**: cubic
**Excess energy over the best structure of this formula in the dataset**: 688.4 meV per atom
**Size of the total moment**: 1.47 μB/f.u.
**ΔE_f (raw)**: 1.013 eV/atom
**Symmetry**: Fm-3m, No. 225


(3)
The following is a DFT calculation (GGA-PBE) of a relaxed structure of AlGaRh.

```
AlGaRh
1.0
5.883 0.000 0.000
0.000 5.883 0.000
0.000 0.000 5.883
Al Ga Rh
4 4 4
Direct
0.000 0.000 0.000 Al
0.000 0.500 0.500 Al
0.500 0.000 0.500 Al
0.500 0.500 0.000 Al
0.000 0.000 0.500 Ga
0.000 0.500 0.000 Ga
0.500 0.000 0.000 Ga
0.500 0.500 0.500 Ga
0.250 0.250 0.750 Rh
0.250 0.750 0.250 Rh
0.750 0.250 0.250 Rh
0.750 0.750 0.750 Rh
```

Output
**Crystal system**: cubic
**Size of the total moment**: 0.00 μB/f.u.
**Symmetry**: F-43m, No. 216
**Total DFT energy (no corrections)**: -5.28 eV per atom


- Look up the size of the total moment of the second one.
  1.47 μB/f.u.


- Look up the size of the total moment of the first one.
  0.00 μB/f.u.


Repeat the second record exactly.
The following is a DFT calculation (GGA-PBE) of a relaxed structure of Cd2TeN.

```
Cd2TeN
1.0
6.961 0.000 0.000
0.000 6.961 0.000
0.000 0.000 6.961
Cd Te N
8 4 4
Direct
0.250 0.250 0.250 Cd
0.250 0.250 0.750 Cd
0.250 0.750 0.250 Cd
0.250 0.750 0.750 Cd
0.750 0.250 0.250 Cd
0.750 0.250 0.750 Cd
0.750 0.750 0.250 Cd
0.750 0.750 0.750 Cd
0.000 0.000 0.000 Te
0.000 0.500 0.500 Te
0.500 0.000 0.500 Te
0.500 0.500 0.000 Te
0.000 0.000 0.500 N
0.000 0.500 0.000 N
0.500 0.000 0.000 N
0.500 0.500 0.500 N
```

Output
**Crystal system**: cubic
**Excess energy over the best structure of this formula in the dataset**: 688.4 meV per atom
**Size of the total moment**: 1.47 μB/f.u.
**ΔE_f (raw)**: 1.013 eV/atom
**Symmetry**: Fm-3m, No. 225